! Hf2HPtRh | Alexandria | GGA-PBE | relaxed; values from VASP
&SYSTEM
  ibrav = 0, nat = 5, ntyp = 4
/
ATOMIC_SPECIES
Hf 178.49 Hf.upf
H 1.01 H.upf
Pt 195.08 Pt.upf
Rh 102.91 Rh.upf
ATOMIC_POSITIONS crystal
Hf 0.000 0.500 0.000
Hf 0.500 0.000 0.000
H 0.000 0.000 0.000
Pt 0.500 0.500 0.500
Rh 0.000 0.000 0.500
CELL_PARAMETERS angstrom
4.427 0.000 0.000
0.000 4.427 0.000
0.000 0.000 3.743
! - E above lowest polymorph: 0.0 meV per atom
! - D(E_F): 0.7406 states/eV/atom
! - Volume: 14.7 Å³ per atom
! - Space group: P4/mmm

***

! HfHRuPt2 | Alexandria | GGA-PBE | relaxed; values from VASP
&SYSTEM
  ibrav = 0, nat = 5, ntyp = 4
/
ATOMIC_SPECIES
Hf 178.49 Hf.upf
H 1.01 H.upf
Ru 101.07 Ru.upf
Pt 195.08 Pt.upf
ATOMIC_POSITIONS crystal
Hf 0.000 0.000 0.000
H 0.500 0.500 0.500
Ru 0.500 0.500 0.000
Pt 0.000 0.500 0.500
Pt 0.500 0.000 0.500
CELL_PARAMETERS angstrom
4.013 0.000 0.000
0.000 4.013 0.000
0.000 0.000 4.115
! - D(E_F): 0.5271 states/eV/atom
! - Electronic total energy: -7.542 eV per atom
! - Volume: 13.3 Å³ per atom
! - Space group: P4/mmm

***

Repeat the second record exactly.
! HfHRuPt2 | Alexandria | GGA-PBE | relaxed; values from VASP
&SYSTEM
  ibrav = 0, nat = 5, ntyp = 4
/
ATOMIC_SPECIES
Hf 178.49 Hf.upf
H 1.01 H.upf
Ru 101.07 Ru.upf
Pt 195.08 Pt.upf
ATOMIC_POSITIONS crystal
Hf 0.000 0.000 0.000
H 0.500 0.500 0.500
Ru 0.500 0.500 0.000
Pt 0.000 0.500 0.500
Pt 0.500 0.000 0.500
CELL_PARAMETERS angstrom
4.013 0.000 0.000
0.000 4.013 0.000
0.000 0.000 4.115
! - D(E_F): 0.5271 states/eV/atom
! - Electronic total energy: -7.542 eV per atom
! - Volume: 13.3 Å³ per atom
! - Space group: P4/mmm

***

Which of these has the highest D(E_F)? Hf2HPtRh

***

What is the D(E_F) in the second record? 0.5271 states/eV/atom